# AgP2Br

AgP2Br at its PBEsol-relaxed geometry (meta-GGA SCAN, the Alexandria database).

Structure (POSCAR):
```
AgP2Br
1.0
2.410 -6.606 0.000
2.410 6.606 0.000
0.000 0.000 2.653
Ag P Br
1 2 1
Direct
0.000 0.000 0.000 Ag
0.000 0.500 0.500 P
0.500 0.000 0.500 P
0.500 0.500 0.000 Br
```

Calculated values
E_form (uncorrected)	0.71	eV per atom
space group	Cmmm (65)
energy above the most stable polymorph in this dataset	2.11	eV per formula unit
crystal system	orthorhombic
DFT total energy	-17.1923	eV per atom
spin magnetization	0.000	μB/atom
V	84	Å³/cell